Record 1
Below is a geometry-optimized Cs2TbCoS4 structure, with properties calculated at the PBE level.

a = 14.981 Å, b = 13.409 Å, c = 7.936 Å
α = 85.06°, β = 63.09°, γ = 31.85°
Positions (direct):
Cs  0.053  0.053  0.697
Cs  0.303  0.303  0.947
Cs  0.697  0.697  0.053
Cs  0.947  0.947  0.303
Tb  0.125  0.125  0.125
Tb  0.875  0.875  0.875
Co  0.375  0.375  0.375
Co  0.625  0.625  0.625
S  0.026  0.626  0.537
S  0.312  0.537  0.626
S  0.374  0.974  0.688
S  0.463  0.688  0.974
S  0.537  0.312  0.026
S  0.626  0.026  0.312
S  0.688  0.463  0.374
S  0.974  0.374  0.463

Properties
ΔE_f (raw)   -1.043 eV/atom



Record 2
Below is a geometry-optimized Cs2CoTcS structure, with properties calculated at the PBE level.

a = 6.644 Å, b = 6.644 Å, c = 4.317 Å
α = 90.00°, β = 90.00°, γ = 90.00°
Positions (direct):
Cs  0.000  0.500  0.000
Cs  0.500  0.000  0.000
Co  0.000  0.000  0.000
Tc  0.000  0.000  0.500
S  0.500  0.500  0.500

Properties
ΔE_f (raw)   0.954 eV/atom



Record 3
Below is a geometry-optimized Cs3Th3CoS8 structure, with properties calculated at the PBE level.

a = 8.206 Å, b = 8.206 Å, c = 9.484 Å
α = 115.59°, β = 115.59°, γ = 60.04°
Positions (direct):
Cs  0.000  0.000  0.000
Cs  0.000  0.500  0.000
Cs  0.500  0.000  0.000
Th  0.000  0.500  0.500
Th  0.500  0.000  0.500
Th  0.500  0.500  0.500
Co  0.000  0.000  0.500
S  0.221  0.221  0.673
S  0.222  0.730  0.673
S  0.270  0.270  0.309
S  0.270  0.778  0.327
S  0.730  0.222  0.673
S  0.730  0.730  0.691
S  0.778  0.270  0.327
S  0.779  0.779  0.327

Properties
ΔE_f (raw)   -1.470 eV/atom



Record 4
Below is a geometry-optimized CsUCoS4 structure, with properties calculated at the PBE level.

a = 6.479 Å, b = 5.771 Å, c = 9.507 Å
α = 90.00°, β = 105.65°, γ = 90.00°
Positions (direct):
Cs  0.244  0.250  0.046
Cs  0.756  0.750  0.954
U  0.259  0.250  0.547
U  0.741  0.750  0.453
Co  0.237  0.750  0.357
Co  0.763  0.250  0.643
S  0.013  0.510  0.686
S  0.013  0.990  0.686
S  0.429  0.750  0.582
S  0.448  0.750  0.209
S  0.552  0.250  0.791
S  0.571  0.250  0.418
S  0.987  0.010  0.314
S  0.987  0.490  0.314

Properties
ΔE_f (raw)   -1.018 eV/atom



Record 5
Below is a geometry-optimized Cs2UCoS6 structure, with properties calculated at the PBE level.

a = 6.734 Å, b = 6.734 Å, c = 8.045 Å
α = 114.69°, β = 114.69°, γ = 90.01°
Positions (direct):
Cs  0.249  0.751  0.000
Cs  0.751  0.249  0.000
U  0.500  0.500  0.500
Co  0.000  0.000  0.500
S  0.227  0.227  0.499
S  0.228  0.772  0.500
S  0.313  0.313  0.124
S  0.687  0.687  0.876
S  0.772  0.228  0.500
S  0.773  0.773  0.501

Properties
ΔE_f (raw)   -0.802 eV/atom



Record 6
Below is a geometry-optimized CsU4Co3S12 structure, with properties calculated at the PBE level.

a = 8.324 Å, b = 8.324 Å, c = 8.324 Å
α = 109.47°, β = 109.47°, γ = 109.47°
Positions (direct):
Cs  0.000  0.000  0.000
U  0.000  0.000  0.500
U  0.000  0.500  0.000
U  0.500  0.000  0.000
U  0.500  0.500  0.500
Co  0.000  0.500  0.500
Co  0.500  0.000  0.500
Co  0.500  0.500  0.000
S  0.162  0.493  0.331
S  0.162  0.831  0.669
S  0.169  0.331  0.838
S  0.331  0.162  0.493
S  0.331  0.838  0.169
S  0.493  0.331  0.162
S  0.507  0.669  0.838
S  0.669  0.162  0.831
S  0.669  0.838  0.507
S  0.831  0.669  0.162
S  0.838  0.169  0.331
S  0.838  0.507  0.669

Properties
ΔE_f (raw)   -0.809 eV/atom